1.
A plane-wave DFT calculation with PBE was carried out for Pm2NdSm2Dy4 after structural relaxation.

```
Pm2NdSm2Dy4
1.0
9.4220 -1.8169 0.0000
9.4220 1.8169 0.0000
-4.1885 0.0000 8.6940
Pm Nd Sm Dy
2 1 2 4
direct
0.1667 0.1667 0.0017
0.8333 0.8333 0.9983
0.5000 0.5000 0.0000
0.3526 0.3526 0.3358
0.6474 0.6474 0.6642
0.0195 0.0195 0.3346
0.3145 0.3145 0.6640
0.6855 0.6855 0.3360
0.9805 0.9805 0.6654
```

Calculated values
DOS at the Fermi energy	1.319	states/eV/atom
total energy	-4.679	eV per atom
crystal system	monoclinic

2.
A plane-wave DFT calculation with PBE was carried out for Ba2CaPt after structural relaxation.

```
Ba2CaPt
1.0
2.2315 1.2883 10.7420
-2.2315 1.2883 10.7420
0.0000 -2.5767 10.7420
Ba Ca Pt
2 1 1
direct
0.2218 0.2218 0.2218
0.7782 0.7782 0.7782
0.0000 0.0000 0.0000
0.5000 0.5000 0.5000
```

Calculated values
DOS at the Fermi energy	0.842	states/eV/atom
total energy	-3.361	eV per atom
crystal system	trigonal